No. 1
Sc5Hg4Pd after structural relaxation. Source: Alexandria via LeMat-Bulk, functional PBE.

Unit cell a=3.466 b=3.466 c=17.518 alpha=90.00 beta=90.00 gamma=90.00
Space group P4/mmm (No. 123)
Asymmetric unit:
Sc (0.000, 0.000, 0.000) (multiplicity 1)
Sc (0.000, 0.000, 0.206) (multiplicity 2)
Sc (0.000, 0.000, 0.411) (multiplicity 2)
Hg (0.500, 0.500, 0.103) (multiplicity 2)
Hg (0.500, 0.500, 0.307) (multiplicity 2)
Pd (0.500, 0.500, 0.500) (multiplicity 1)

Summary:
Energy of formation: -512 meV per atom

***

No. 2
Ba2ZnInAu6 after structural relaxation. Source: Alexandria via LeMat-Bulk, functional PBE.

Unit cell a=7.350 b=7.350 c=10.350 alpha=90.00 beta=90.00 gamma=90.00
Space group I4/mmm (No. 139)
Asymmetric unit:
Ba (0.000, 0.500, 0.250) (multiplicity 4)
Zn (0.000, 0.000, 0.000) (multiplicity 2)
In (0.000, 0.000, 0.500) (multiplicity 2)
Au (0.000, 0.000, 0.241) (multiplicity 4)
Au (0.241, 0.241, 0.000) (multiplicity 8)

Summary:
Energy of formation: -390 meV per atom

***

No. 3
La2CeIn3 after structural relaxation. Source: Alexandria via LeMat-Bulk, functional PBE.

Unit cell a=3.921 b=3.921 c=11.825 alpha=90.00 beta=90.00 gamma=90.00
Space group P4/mmm (No. 123)
Asymmetric unit:
La (0.000, 0.000, 0.169) (multiplicity 2)
Ce (0.000, 0.000, 0.500) (multiplicity 1)
In (0.500, 0.500, 0.000) (multiplicity 1)
In (0.500, 0.500, 0.339) (multiplicity 2)

Summary:
Energy of formation: -445 meV per atom

***

No. 4
Sc2TiNiOs after structural relaxation. Source: Alexandria via LeMat-Bulk, functional PBE.

Unit cell a=4.881 b=4.881 c=4.446 alpha=90.00 beta=90.00 gamma=90.00
Space group P4/mmm (No. 123)
Asymmetric unit:
Sc (0.000, 0.500, 0.000) (multiplicity 2)
Ti (0.000, 0.000, 0.000) (multiplicity 1)
Ni (0.500, 0.500, 0.500) (multiplicity 1)
Os (0.000, 0.000, 0.500) (multiplicity 1)

Summary:
Energy of formation: 1037 meV per atom

***

No. 5
SmDyZn2 after structural relaxation. Source: Alexandria via LeMat-Bulk, functional PBE.

Unit cell a=3.6273 b=3.6273 c=27.0877 alpha=90.00 beta=90.00 gamma=120.00
Space group R-3m (No. 166, hexagonal axes)
Asymmetric unit:
Sm (0.0000, 0.0000, 0.0000) (multiplicity 3)
Dy (0.0000, 0.0000, 0.5000) (multiplicity 3)
Zn (0.0000, 0.0000, 0.2480) (multiplicity 6)

Summary:
Energy of formation: -107 meV per atom

***

No. 6
Ca2Sn4Rh3Au after structural relaxation. Source: Alexandria via LeMat-Bulk, functional PBE.

Unit cell a=4.632 b=4.632 c=10.546 alpha=90.00 beta=90.00 gamma=90.00
Space group P-4m2 (No. 115)
Asymmetric unit:
Ca (0.000, 0.500, 0.245) (multiplicity 2)
Sn (0.000, 0.000, 0.500) (multiplicity 1)
Sn (0.000, 0.500, 0.868) (multiplicity 2)
Sn (0.500, 0.500, 0.500) (multiplicity 1)
Rh (0.000, 0.000, 0.000) (multiplicity 1)
Rh (0.000, 0.500, 0.624) (multiplicity 2)
Au (0.500, 0.500, 0.000) (multiplicity 1)

Summary:
Energy of formation: -551 meV per atom